Record 1
Compound: IrOsRh2
Source: Alexandria via LeMat-Bulk
Functional: meta-GGA SCAN
Structure: single point on PBEsol structure

POSCAR file:
```
IrOsRh2
1.0
3.790 0.000 0.000
0.000 3.790 0.000
0.000 0.000 3.815
Ir Rh Os
1 2 1
direct
0.500 0.500 0.500
0.000 0.500 0.000
0.500 0.000 0.000
0.000 0.000 0.500
```

**Space-group type**: No. 123
**D(E_F)**: 3.98 states/eV per cell


Record 2
Compound: IrOsRh2
Source: Alexandria via LeMat-Bulk
Functional: meta-GGA SCAN
Structure: single point on PBEsol structure

POSCAR file:
```
IrOsRh2
1.0
2.685 0.000 0.000
0.000 3.802 0.000
0.000 0.000 5.372
Os Rh Ir
1 2 1
direct
0.500 0.500 0.749
0.000 0.000 0.998
0.500 0.500 0.249
0.000 0.000 0.504
```

**Space-group type**: No. 25
**D(E_F)**: 3.82 states/eV per cell


Record 3
Compound: IrOs2Rh
Source: Alexandria via LeMat-Bulk
Functional: meta-GGA SCAN
Structure: single point on PBEsol structure

POSCAR file:
```
IrOs2Rh
1.0
4.323 0.000 0.000
2.161 3.744 0.000
2.161 1.248 3.529
Ir Rh Os
1 1 2
direct
0.500 0.500 0.500
0.250 0.250 0.250
0.750 0.750 0.750
0.000 0.000 0.000
```

**Space-group type**: No. 216
**D(E_F)**: 5.68 states/eV per cell


Relative energy among the computed polymorphs (computed, eV per atom): 0.062 0.000 0.663
Total energy (computed, eV/cell): -210.275 -210.523 -245.804
Density (computed, g cm⁻³): 17.8 17.8 19.6